1.
{"formula": "Hf2FeNiAs", "functional": "PBE", "state": "optimized geometry", "spacegroup": "P4/mmm (123)", "n_ef_per_ev_cell": 5.7, "formation_energy_ev_per_atom": 0.565, "mass_density_g_cm3": 9.52, "lattice": [[4.789, 0.000, 0.000], [0.000, 4.789, 0.000], [0.000, 0.000, 4.155]], "species": ["Hf", "Hf", "Fe", "Ni", "As"], "frac_coords": [[0.000, 0.500, 0.000], [0.500, 0.000, 0.000], [0.000, 0.000, 0.500], [0.500, 0.500, 0.000], [0.500, 0.500, 0.500]]}

=====

2.
{"formula": "Li2MnTlCl6", "functional": "PBE", "state": "optimized geometry", "raw_formation_energy_ev_per_atom": -1.319, "spacegroup": "P-1 (2)", "mass_density_g_cm3": 3.04, "lattice": [[6.241, 0.000, 0.000], [2.764, 5.659, 0.000], [3.120, 1.366, 7.507]], "species": ["Li", "Li", "Mn", "Tl", "Cl", "Cl", "Cl", "Cl", "Cl", "Cl"], "frac_coords": [[0.146, 0.178, 0.479], [0.854, 0.822, 0.521], [0.500, 0.500, 0.500], [0.000, 0.000, 0.000], [0.134, 0.444, 0.681], [0.239, 0.879, 0.310], [0.454, 0.744, 0.678], [0.546, 0.256, 0.322], [0.761, 0.121, 0.690], [0.866, 0.556, 0.319]]}

=====

3.
{"formula": "PaRhAu2O8", "functional": "PBE", "state": "optimized geometry", "raw_formation_energy_ev_per_atom": -0.744, "spacegroup": "I-4m2 (119)", "n_ef_per_ev_cell": 8.6, "mass_density_g_cm3": 8.63, "lattice": [[-3.376, 3.376, 3.615], [3.376, -3.376, 3.615], [3.376, 3.376, -3.615]], "species": ["Pa", "Rh", "Au", "Au", "O", "O", "O", "O", "O", "O", "O", "O"], "frac_coords": [[0.000, 0.000, 0.000], [0.750, 0.250, 0.500], [0.250, 0.750, 0.500], [0.500, 0.500, 0.000], [0.018, 0.347, 0.330], [0.018, 0.688, 0.670], [0.076, 0.269, 0.807], [0.312, 0.982, 0.330], [0.462, 0.269, 0.193], [0.653, 0.982, 0.670], [0.731, 0.538, 0.807], [0.731, 0.924, 0.193]]}

=====

4.
{"formula": "La2CdCl", "functional": "PBE", "state": "optimized geometry", "raw_formation_energy_ev_per_atom": -0.828, "spacegroup": "R-3m (166)", "n_ef_per_ev_cell": 4.8, "mass_density_g_cm3": 5.94, "lattice": [[1.913, 1.104, 9.397], [-1.913, 1.104, 9.397], [0.000, -2.209, 9.397]], "species": ["La", "La", "Cd", "Cl"], "frac_coords": [[0.246, 0.246, 0.246], [0.754, 0.754, 0.754], [0.000, 0.000, 0.000], [0.500, 0.500, 0.500]]}

=====

5.
{"formula": "Th2Pa2Sb2C", "functional": "PBE", "state": "optimized geometry", "raw_formation_energy_ev_per_atom": -0.606, "spacegroup": "I4/mmm (139)", "n_ef_per_ev_cell": 5.5, "mass_density_g_cm3": 10.73, "lattice": [[-2.354, 2.354, 8.255], [2.354, -2.354, 8.255], [2.354, 2.354, -8.255]], "species": ["Th", "Th", "Pa", "Pa", "Sb", "Sb", "C"], "frac_coords": [[0.161, 0.161, 0.000], [0.839, 0.839, 0.000], [0.000, 0.500, 0.500], [0.500, 0.000, 0.500], [0.360, 0.360, 0.000], [0.640, 0.640, 0.000], [0.000, 0.000, 0.000]]}

=====

6.
{"formula": "CsB3Mo", "functional": "PBE", "state": "optimized geometry", "spacegroup": "Pm-3m (221)", "n_ef_per_ev_cell": 4.8, "formation_energy_ev_per_atom": 3.843, "mass_density_g_cm3": 5.12, "lattice": [[4.391, 0.000, 0.000], [0.000, 4.391, 0.000], [0.000, 0.000, 4.391]], "species": ["Cs", "B", "B", "B", "Mo"], "frac_coords": [[0.000, 0.000, 0.000], [0.000, 0.000, 0.500], [0.000, 0.500, 0.000], [0.500, 0.000, 0.000], [0.500, 0.500, 0.500]]}

=====

| no. | total DFT energy (no corrections) (eV/cell) |
| --- | --- |
| 1 | -35.98 |
| 2 | -39.63 |
| 3 | -72.00 |
| 4 | -15.93 |
| 5 | -55.54 |
| 6 | -12.50 |